BaYSc2Os: relaxed, PBE.

Properties
ΔH_f (0 K): -0.0489 eV per atom
VASP energy: -6.505 eV/atom
M_tot: 0.0 μB/f.u.
DOS(E_F): 5.1 states/eV per cell
calculated volume: 151.9 Å³/f.u.

Cell and atoms, written as CIF:
```
data_BaYSc2Os
_chemical_formula_sum 'Ba1 Y1 Sc2 Os1'
_symmetry_space_group_name_H-M 'P 4/m m m'
_symmetry_Int_Tables_number 123
_symmetry_space_group_name_Hall '-P 4 2'
_cell_length_a 5.243
_cell_length_b 5.243
_cell_length_c 5.526
_cell_angle_alpha 90.00
_cell_angle_beta 90.00
_cell_angle_gamma 90.00
loop_
_atom_site_label
_atom_site_type_symbol
_atom_site_fract_x
_atom_site_fract_y
_atom_site_fract_z
_atom_site_occupancy
Ba1 Ba 0.000 0.000 0.000 1
Y1 Y 0.500 0.500 0.000 1
Sc1 Sc 0.000 0.500 0.500 1
Os1 Os 0.500 0.500 0.500 1
```

=====

BaY2ScOs: relaxed, PBE.

Properties
ΔH_f (0 K): -0.0473 eV per atom
VASP energy: -6.530 eV/atom
M_tot: 0.0 μB/f.u.
DOS(E_F): 4.9 states/eV per cell
calculated volume: 161.7 Å³/f.u.

Cell and atoms, written as CIF:
```
data_BaY2ScOs
_chemical_formula_sum 'Ba1 Y2 Sc1 Os1'
_symmetry_space_group_name_H-M 'P 4/m m m'
_symmetry_Int_Tables_number 123
_symmetry_space_group_name_Hall '-P 4 2'
_cell_length_a 5.561
_cell_length_b 5.561
_cell_length_c 5.229
_cell_angle_alpha 90.00
_cell_angle_beta 90.00
_cell_angle_gamma 90.00
loop_
_atom_site_label
_atom_site_type_symbol
_atom_site_fract_x
_atom_site_fract_y
_atom_site_fract_z
_atom_site_occupancy
Ba1 Ba 0.000 0.000 0.000 1
Y1 Y 0.000 0.500 0.500 1
Sc1 Sc 0.500 0.500 0.000 1
Os1 Os 0.500 0.500 0.500 1
```

=====

BaOsSe: relaxed, PBE.

Properties
VASP energy: -5.326 eV/atom
M_tot: 0.0 μB/f.u.
formation energy from raw total energies: 219 meV per atom
distance to the lowest polymorph of the same formula: 336 meV/atom
DOS(E_F): 5.0 states/eV per cell
calculated volume: 71.1 Å³/f.u.

Cell and atoms, written as CIF:
```
data_BaOsSe
_chemical_formula_sum 'Ba2 Os2 Se2'
_symmetry_space_group_name_H-M 'I m m 2'
_symmetry_Int_Tables_number 44
_cell_length_a 3.259
_cell_length_b 3.769
_cell_length_c 11.582
_cell_angle_alpha 90.00
_cell_angle_beta 90.00
_cell_angle_gamma 90.00
loop_
_symmetry_equiv_pos_as_xyz
'x,y,z'
'-x,-y,z'
'-x,y,z'
'x,-y,z'
'x+1/2,y+1/2,z+1/2'
'-x+1/2,-y+1/2,z+1/2'
'-x+1/2,y+1/2,z+1/2'
'x+1/2,-y+1/2,z+1/2'
loop_
_atom_site_label
_atom_site_type_symbol
_atom_site_fract_x
_atom_site_fract_y
_atom_site_fract_z
_atom_site_occupancy
Ba1 Ba 0.000 0.000 0.000 1
Os1 Os 0.000 0.000 0.292 1
Se1 Se 0.000 0.000 0.724 1
```

=====

BaOsSe: relaxed, PBE.

Properties
VASP energy: -4.270 eV/atom
M_tot: 3.8 μB/f.u.
formation energy from raw total energies: 1276 meV per atom
distance to the lowest polymorph of the same formula: 1392 meV/atom
DOS(E_F): 37.0 states/eV per cell
calculated volume: 108.6 Å³/f.u.

Cell and atoms, written as CIF:
```
data_BaOsSe
_chemical_formula_sum 'Ba4 Os4 Se4'
_symmetry_space_group_name_H-M 'F -4 3 m'
_symmetry_Int_Tables_number 216
_symmetry_space_group_name_Hall 'F -4 2 3'
_cell_length_a 7.573
_cell_length_b 7.573
_cell_length_c 7.573
_cell_angle_alpha 90.00
_cell_angle_beta 90.00
_cell_angle_gamma 90.00
loop_
_atom_site_label
_atom_site_type_symbol
_atom_site_fract_x
_atom_site_fract_y
_atom_site_fract_z
_atom_site_occupancy
Ba1 Ba 0.000 0.000 0.000 1
Os1 Os 0.250 0.250 0.250 1
Se1 Se 0.250 0.250 0.750 1
```

=====

BaOsSe4: relaxed, PBE.

Properties
VASP energy: -3.866 eV/atom
M_tot: 3.7 μB/f.u.
formation energy from raw total energies: 649 meV per atom
DOS(E_F): 23.4 states/eV per cell
calculated volume: 146.0 Å³/f.u.

Cell and atoms, written as CIF:
```
data_BaOsSe4
_chemical_formula_sum 'Ba4 Os4 Se16'
_symmetry_space_group_name_H-M 'F -4 3 m'
_symmetry_Int_Tables_number 216
_symmetry_space_group_name_Hall 'F -4 2 3'
_cell_length_a 8.359
_cell_length_b 8.359
_cell_length_c 8.359
_cell_angle_alpha 90.00
_cell_angle_beta 90.00
_cell_angle_gamma 90.00
loop_
_atom_site_label
_atom_site_type_symbol
_atom_site_fract_x
_atom_site_fract_y
_atom_site_fract_z
_atom_site_occupancy
Ba1 Ba 0.000 0.000 0.000 1
Os1 Os 0.250 0.250 0.750 1
Se1 Se 0.123 0.123 0.377 1
```

=====

BaOsSe: relaxed, PBE.

Properties
VASP energy: -4.897 eV/atom
M_tot: 1.1 μB/f.u.
formation energy from raw total energies: 648 meV per atom
distance to the lowest polymorph of the same formula: 765 meV/atom
DOS(E_F): 17.9 states/eV per cell
calculated volume: 79.0 Å³/f.u.

Cell and atoms, written as CIF:
```
data_BaOsSe
_chemical_formula_sum 'Ba4 Os4 Se4'
_symmetry_space_group_name_H-M 'F -4 3 m'
_symmetry_Int_Tables_number 216
_symmetry_space_group_name_Hall 'F -4 2 3'
_cell_length_a 6.811
_cell_length_b 6.811
_cell_length_c 6.811
_cell_angle_alpha 90.00
_cell_angle_beta 90.00
_cell_angle_gamma 90.00
loop_
_atom_site_label
_atom_site_type_symbol
_atom_site_fract_x
_atom_site_fract_y
_atom_site_fract_z
_atom_site_occupancy
Ba1 Ba 0.000 0.000 0.000 1
Os1 Os 0.250 0.250 0.250 1
Se1 Se 0.000 0.000 0.500 1
```

=====

BaOs4Se: relaxed, PBE.

Properties
VASP energy: -7.299 eV/atom
M_tot: 1.2 μB/f.u.
formation energy from raw total energies: 1089 meV per atom
DOS(E_F): 40.0 states/eV per cell
calculated volume: 114.2 Å³/f.u.

Cell and atoms, written as CIF:
```
data_BaOs4Se
_chemical_formula_sum 'Ba4 Os16 Se4'
_symmetry_space_group_name_H-M 'F -4 3 m'
_symmetry_Int_Tables_number 216
_symmetry_space_group_name_Hall 'F -4 2 3'
_cell_length_a 7.702
_cell_length_b 7.702
_cell_length_c 7.702
_cell_angle_alpha 90.00
_cell_angle_beta 90.00
_cell_angle_gamma 90.00
loop_
_atom_site_label
_atom_site_type_symbol
_atom_site_fract_x
_atom_site_fract_y
_atom_site_fract_z
_atom_site_occupancy
Ba1 Ba 0.000 0.000 0.000 1
Os1 Os 0.124 0.124 0.624 1
Se1 Se 0.250 0.250 0.250 1
```

=====

Ba4OsSe: relaxed, PBE.

Properties
VASP energy: -2.876 eV/atom
M_tot: 0.2 μB/f.u.
formation energy from raw total energies: 858 meV per atom
DOS(E_F): 24.0 states/eV per cell
calculated volume: 220.3 Å³/f.u.

Cell and atoms, written as CIF:
```
data_Ba4OsSe
_chemical_formula_sum 'Ba16 Os4 Se4'
_symmetry_space_group_name_H-M 'F -4 3 m'
_symmetry_Int_Tables_number 216
_symmetry_space_group_name_Hall 'F -4 2 3'
_cell_length_a 9.588
_cell_length_b 9.588
_cell_length_c 9.588
_cell_angle_alpha 90.00
_cell_angle_beta 90.00
_cell_angle_gamma 90.00
loop_
_atom_site_label
_atom_site_type_symbol
_atom_site_fract_x
_atom_site_fract_y
_atom_site_fract_z
_atom_site_occupancy
Ba1 Ba 0.125 0.125 0.125 1
Os1 Os 0.250 0.250 0.750 1
Se1 Se 0.000 0.000 0.500 1
```

=====

BaOsSe: relaxed, PBE.

Properties
VASP energy: -5.662 eV/atom
M_tot: 0.0 μB/f.u.
formation energy from raw total energies: -117 meV per atom
distance to the lowest polymorph of the same formula: 0 meV/atom
DOS(E_F): 2.6 states/eV per cell
calculated volume: 77.9 Å³/f.u.

Cell and atoms, written as CIF:
```
data_BaOsSe
_chemical_formula_sum 'Ba1 Os1 Se1'
_symmetry_space_group_name_H-M 'P -6 m 2'
_symmetry_Int_Tables_number 187
_symmetry_space_group_name_Hall 'P -6 2'
_cell_length_a 4.2590
_cell_length_b 4.2590
_cell_length_c 4.9589
_cell_angle_alpha 90.00
_cell_angle_beta 90.00
_cell_angle_gamma 120.00
loop_
_atom_site_label
_atom_site_type_symbol
_atom_site_fract_x
_atom_site_fract_y
_atom_site_fract_z
_atom_site_occupancy
Ba1 Ba 0.0000 0.0000 0.0000 1
Os1 Os 0.6667 0.3333 0.5000 1
Se1 Se 0.3333 0.6667 0.5000 1
```

=====

BaSiOs3: relaxed, PBE.

Properties
VASP energy: -7.189 eV/atom
M_tot: 1.1 μB/f.u.
formation energy from raw total energies: 1018 meV per atom
distance to the lowest polymorph of the same formula: 0 meV/atom
DOS(E_F): 7.8 states/eV per cell
calculated volume: 99.4 Å³/f.u.

Cell and atoms, written as CIF:
```
data_BaSiOs3
_chemical_formula_sum 'Ba1 Si1 Os3'
_symmetry_space_group_name_H-M 'P m -3 m'
_symmetry_Int_Tables_number 221
_symmetry_space_group_name_Hall '-P 4 2 3'
_cell_length_a 4.633
_cell_length_b 4.633
_cell_length_c 4.633
_cell_angle_alpha 90.00
_cell_angle_beta 90.00
_cell_angle_gamma 90.00
loop_
_atom_site_label
_atom_site_type_symbol
_atom_site_fract_x
_atom_site_fract_y
_atom_site_fract_z
_atom_site_occupancy
Ba1 Ba 0.000 0.000 0.000 1
Si1 Si 0.500 0.500 0.500 1
Os1 Os 0.000 0.500 0.500 1
```

=====

BaSiOs2: relaxed, PBE.

Properties
VASP energy: -7.078 eV/atom
M_tot: 0.0 μB/f.u.
formation energy from raw total energies: 374 meV per atom
DOS(E_F): 14.4 states/eV per cell
calculated volume: 101.4 Å³/f.u.

Cell and atoms, written as CIF:
```
data_BaSiOs2
_chemical_formula_sum 'Ba4 Si4 Os8'
_symmetry_space_group_name_H-M 'I -4 2 d'
_symmetry_Int_Tables_number 122
_symmetry_space_group_name_Hall 'I -4 2bw'
_cell_length_a 4.957
_cell_length_b 4.957
_cell_length_c 16.504
_cell_angle_alpha 90.00
_cell_angle_beta 90.00
_cell_angle_gamma 90.00
loop_
_atom_site_label
_atom_site_type_symbol
_atom_site_fract_x
_atom_site_fract_y
_atom_site_fract_z
_atom_site_occupancy
Ba1 Ba 0.000 0.000 0.000 1
Si1 Si 0.000 0.000 0.500 1
Os1 Os 0.027 0.750 0.625 1
```

=====

Ba2SiOs: relaxed, PBE.

Properties
VASP energy: -4.380 eV/atom
M_tot: 1.0 μB/f.u.
formation energy from raw total energies: 745 meV per atom
DOS(E_F): 3.7 states/eV per cell
calculated volume: 113.2 Å³/f.u.

Cell and atoms, written as CIF:
```
data_Ba2SiOs
_chemical_formula_sum 'Ba2 Si1 Os1'
_symmetry_space_group_name_H-M 'P 1 2/m 1'
_symmetry_Int_Tables_number 10
_cell_length_a 3.340
_cell_length_b 4.613
_cell_length_c 7.346
_cell_angle_alpha 90.00
_cell_angle_beta 90.07
_cell_angle_gamma 90.00
loop_
_symmetry_equiv_pos_as_xyz
'x,y,z'
'-x,-y,-z'
'-x,y,-z'
'x,-y,z'
loop_
_atom_site_label
_atom_site_type_symbol
_atom_site_fract_x
_atom_site_fract_y
_atom_site_fract_z
_atom_site_occupancy
Ba1 Ba 0.001 0.000 0.255 1
Si1 Si 0.500 0.500 0.000 1
Os1 Os 0.500 0.500 0.500 1
```

=====

BaSi4Os: relaxed, PBE.

Properties
VASP energy: -5.046 eV/atom
M_tot: 0.0 μB/f.u.
formation energy from raw total energies: 761 meV per atom
DOS(E_F): 19.9 states/eV per cell
calculated volume: 111.9 Å³/f.u.

Cell and atoms, written as CIF:
```
data_BaSi4Os
_chemical_formula_sum 'Ba4 Si16 Os4'
_symmetry_space_group_name_H-M 'F -4 3 m'
_symmetry_Int_Tables_number 216
_symmetry_space_group_name_Hall 'F -4 2 3'
_cell_length_a 7.649
_cell_length_b 7.649
_cell_length_c 7.649
_cell_angle_alpha 90.00
_cell_angle_beta 90.00
_cell_angle_gamma 90.00
loop_
_atom_site_label
_atom_site_type_symbol
_atom_site_fract_x
_atom_site_fract_y
_atom_site_fract_z
_atom_site_occupancy
Ba1 Ba 0.000 0.000 0.000 1
Si1 Si 0.119 0.119 0.381 1
Os1 Os 0.250 0.250 0.750 1
```

=====

BaSiOs2: relaxed, PBE.

Properties
VASP energy: -7.131 eV/atom
M_tot: 0.0 μB/f.u.
formation energy from raw total energies: 320 meV per atom
DOS(E_F): 3.8 states/eV per cell
calculated volume: 84.3 Å³/f.u.

Cell and atoms, written as CIF:
```
data_BaSiOs2
_chemical_formula_sum 'Ba1 Si1 Os2'
_symmetry_space_group_name_H-M 'P 1 m 1'
_symmetry_Int_Tables_number 6
_cell_length_a 3.009
_cell_length_b 4.212
_cell_length_c 6.747
_cell_angle_alpha 90.00
_cell_angle_beta 99.75
_cell_angle_gamma 90.00
loop_
_symmetry_equiv_pos_as_xyz
'x,y,z'
'x,-y,z'
loop_
_atom_site_label
_atom_site_type_symbol
_atom_site_fract_x
_atom_site_fract_y
_atom_site_fract_z
_atom_site_occupancy
Ba1 Ba 0.000 0.000 0.000 1
Si1 Si 0.384 0.500 0.680 1
Os1 Os 0.349 0.000 0.485 1
Os2 Os 0.776 0.500 0.384 1
```

=====

BaSiOs2: relaxed, PBE.

Properties
VASP energy: -7.074 eV/atom
M_tot: 0.0 μB/f.u.
formation energy from raw total energies: 378 meV per atom
DOS(E_F): 2.2 states/eV per cell
calculated volume: 81.3 Å³/f.u.

Cell and atoms, written as CIF:
```
data_BaSiOs2
_chemical_formula_sum 'Ba1 Si1 Os2'
_symmetry_space_group_name_H-M 'P m m 2'
_symmetry_Int_Tables_number 25
_cell_length_a 2.939
_cell_length_b 3.715
_cell_length_c 7.449
_cell_angle_alpha 90.00
_cell_angle_beta 90.00
_cell_angle_gamma 90.00
loop_
_symmetry_equiv_pos_as_xyz
'x,y,z'
'-x,-y,z'
'-x,y,z'
'x,-y,z'
loop_
_atom_site_label
_atom_site_type_symbol
_atom_site_fract_x
_atom_site_fract_y
_atom_site_fract_z
_atom_site_occupancy
Ba1 Ba 0.000 0.000 0.000 1
Si1 Si 0.500 0.500 0.679 1
Os1 Os 0.000 0.000 0.500 1
Os2 Os 0.500 0.500 0.351 1
```